PBE-GGA LiPr2CuO5, relaxed; energy = -6.66 eV per atom; crystal system = tetragonal; space-group type = P4/mbm (127)
1.0
6.8023 0.0000 0.0000
0.0000 6.8023 0.0000
0.0000 0.0000 5.5974
Li Pr Cu O
2 4 2 10
Cartesian
0.0000 0.0000 0.0000 Li
3.4012 3.4012 0.0000 Li
1.2088 2.1923 2.7987 Pr
2.1923 5.5935 2.7987 Pr
4.6100 1.2088 2.7987 Pr
5.5935 4.6100 2.7987 Pr
0.0000 3.4012 0.0000 Cu
3.4012 0.0000 0.0000 Cu
0.0000 0.0000 2.7987 O
0.8906 4.2918 1.3287 O
0.8906 4.2918 4.2687 O
2.5106 0.8906 1.3287 O
2.5106 0.8906 4.2687 O
3.4012 3.4012 2.7987 O
4.2918 5.9117 1.3287 O
4.2918 5.9117 4.2687 O
5.9117 2.5106 1.3287 O
5.9117 2.5106 4.2687 O

PBE-GGA KAlZn2, relaxed; crystal system = monoclinic; space-group type = P2/m (10); calculated formation energy = 54 kJ/mol of formula units
1.0
2.8325 0.0000 0.0000
0.0000 4.0491 0.0000
-0.0085 0.0000 7.7801
K Al Zn
1 1 2
Cartesian
0.0000 0.0000 0.0000 K
-0.0043 0.0000 3.8901 Al
1.4059 2.0245 2.5186 Zn
1.4182 2.0245 5.2615 Zn

PBE-GGA BaLi2Zn, relaxed; crystal system = monoclinic; space-group type = Pm (6); calculated formation energy = -10 kJ/mol of formula units
1.0
4.0060 0.0000 0.0000
0.0000 4.3986 0.0000
-1.9704 0.0000 6.7172
Ba Li Zn
1 2 1
Cartesian
0.0000 0.0000 0.0000 Ba
0.0465 0.0000 3.4919 Li
2.0410 2.1993 2.9352 Li
0.0335 2.1993 4.9502 Zn